No. 1
ErPtRh: optimized geometry, PBE.

Lattice parameters (Å, degrees): 4.6689 4.6689 5.6548 90.00 90.00 120.00
Space group P6_3/mmc (No. 194)
Symmetry-distinct sites (fractional):
Er  0.3333  0.6667  0.2500 [2 per cell]
Pt  0.0000  0.0000  0.0000 [2 per cell]
Rh  0.3333  0.6667  0.7500 [2 per cell]

Summary:
E above lowest polymorph ... 0.000 eV/f.u.
Uncorrected energy ... -6.871 eV per atom
DFT formation energy ... -886 meV/atom

***

No. 2
ErPtRh: optimized geometry, PBE.

Lattice parameters (Å, degrees): 3.489 3.489 9.067 90.00 90.00 90.00
Space group I4mm (No. 107)
Symmetry-distinct sites (fractional):
Er  0.000  0.000  0.000 [2 per cell]
Pt  0.000  0.000  0.668 [2 per cell]
Rh  0.000  0.000  0.336 [2 per cell]

Summary:
E above lowest polymorph ... 0.699 eV/f.u.
Uncorrected energy ... -6.638 eV per atom
DFT formation energy ... -653 meV/atom

***

No. 3
Er3PtRh2: optimized geometry, PBE.

Lattice parameters (Å, degrees): 4.8301 4.8301 11.8434 90.00 90.00 120.00
Space group P-3m1 (No. 164)
Symmetry-distinct sites (fractional):
Er  0.0000  0.0000  0.2479 [2 per cell]
Er  0.3333  0.6667  0.4162 [2 per cell]
Er  0.3333  0.6667  0.9182 [2 per cell]
Pt  0.3333  0.6667  0.6666 [2 per cell]
Rh  0.0000  0.0000  0.0000 [1 per cell]
Rh  0.0000  0.0000  0.5000 [1 per cell]
Rh  0.3333  0.6667  0.1644 [2 per cell]

Summary:
Uncorrected energy ... -6.780 eV per atom
DFT formation energy ... -1041 meV/atom

***

No. 4
Er7Pt2Rh2: optimized geometry, PBE.

Lattice parameters (Å, degrees): 3.880 14.868 9.186 90.00 90.00 90.00
Space group Imm2 (No. 44)
Symmetry-distinct sites (fractional):
Er  0.000  0.000  0.000 [2 per cell]
Er  0.000  0.115  0.600 [4 per cell]
Er  0.000  0.312  0.390 [4 per cell]
Er  0.000  0.369  0.760 [4 per cell]
Pt  0.000  0.000  0.342 [2 per cell]
Pt  0.000  0.500  0.275 [2 per cell]
Rh  0.000  0.240  0.092 [4 per cell]

Summary:
E above lowest polymorph ... 0.000 eV/f.u.
Uncorrected energy ... -6.209 eV per atom
DFT formation energy ... -871 meV/atom

***

> Number 4 is which compound?

Er7Pt2Rh2